Compound: Ba2Co4ClO7
Source: OQMD via LeMat-Bulk
Functional: PBE with a Hubbard U
Structure: optimized geometry

Unit cell a=15.3869 b=15.3869 c=15.3869 alpha=21.40 beta=21.40 gamma=21.40
With the nearest neighbours (Å) after each atom.
Element x y z (fractional)
1 O 0.3441 0.3441 0.8843  4 Co 1.93-2.09
2 O 0.3441 0.8843 0.3441  4 Co 1.93-2.09
3 O 0.9106 0.4439 0.9106  2 Co 1.87-1.93
4 O 0.6559 0.1157 0.6559  4 Co 1.93-2.09
5 O 0.9106 0.9106 0.4439  2 Co 1.87-1.93
6 O 0.4439 0.9106 0.9106  2 Co 1.87-1.93
7 O 0.5561 0.0894 0.0894  2 Co 1.87-1.93
8 O 0.8551 0.8551 0.8551  4 Co 1.92
9 O 0.1449 0.1449 0.1449  4 Co 1.92
10 O 0.6559 0.6559 0.1157  4 Co 1.93-2.09
11 O 0.8843 0.3441 0.3441  4 Co 1.93-2.09
12 O 0.0894 0.0894 0.5561  2 Co 1.87-1.93
13 O 0.1157 0.6559 0.6559  4 Co 1.93-2.09
14 O 0.0894 0.5561 0.0894  2 Co 1.87-1.93
15 Co 0.7806 0.7806 0.7806  6 O 1.93-1.99
16 Co 0.0000 0.0000 0.5000  6 O 1.92-1.93
17 Co 0.8977 0.8977 0.8977  4 O 1.87-1.92
18 Co 0.5000 0.0000 0.0000  6 O 1.92-1.93
19 Co 0.1023 0.1023 0.1023  4 O 1.87-1.92
20 Co 0.2194 0.2194 0.2194  6 O 1.93-1.99
21 Co 0.5000 0.5000 0.5000  6 O 2.09
22 Co 0.0000 0.5000 0.0000  6 O 1.92-1.93
23 Ba 0.5710 0.5710 0.5710  9 O 2.76-2.88
24 Ba 0.7099 0.7099 0.7099  3 O 2.55
25 Ba 0.2901 0.2901 0.2901  3 O 2.55
26 Ba 0.4290 0.4290 0.4290  9 O 2.76-2.88
27 Cl 0.6403 0.6403 0.6403  5 Ba 3.12-3.39
28 Cl 0.3597 0.3597 0.3597  5 Ba 3.12-3.39

Calculated values
SG: R-3m
M_tot (μB/atom): 0.357
Total energy (eV/atom): -5.877